(1)
# As2IBrCl, relaxed, DFT PBE
data_As2IBrCl
_chemical_formula_sum 'As2 I1 Br1 Cl1'
_symmetry_space_group_name_H-M 'P 1'
_symmetry_Int_Tables_number 1
_cell_length_a 5.207
_cell_length_b 5.207
_cell_length_c 5.120
_cell_angle_alpha 90.00
_cell_angle_beta 90.00
_cell_angle_gamma 90.00
loop_
_symmetry_equiv_pos_as_xyz
'x,y,z'
loop_
_atom_site_label
_atom_site_type_symbol
_atom_site_fract_x
_atom_site_fract_y
_atom_site_fract_z
_atom_site_occupancy
I1 I 0.500 0.500 0.500 1
As1 As 0.000 0.500 0.000 1
As2 As 0.500 0.000 0.000 1
Br1 Br 0.000 0.000 0.500 1
Cl1 Cl 0.000 0.000 0.000 1
# * symmetry: No. 123
# * D(E_F): 3.52 states/eV per cell

(2)
# CaAsIr, relaxed, DFT PBE
data_CaAsIr
_chemical_formula_sum 'Ca1 As1 Ir1'
_symmetry_space_group_name_H-M 'P 1'
_symmetry_Int_Tables_number 1
_cell_length_a 4.577
_cell_length_b 4.577
_cell_length_c 4.577
_cell_angle_alpha 60.00
_cell_angle_beta 60.00
_cell_angle_gamma 60.00
loop_
_symmetry_equiv_pos_as_xyz
'x,y,z'
loop_
_atom_site_label
_atom_site_type_symbol
_atom_site_fract_x
_atom_site_fract_y
_atom_site_fract_z
_atom_site_occupancy
As1 As 0.500 0.500 0.500 1
Ir1 Ir 0.000 0.000 0.000 1
Ca1 Ca 0.750 0.750 0.750 1
# * energy of formation from the pure elements: 0.4735 eV per atom
# * symmetry: No. 216
# * D(E_F): 3.23 states/eV per cell

(3)
# CaNd3Sm2Se6, relaxed, DFT PBE
data_CaNd3Sm2Se6
_chemical_formula_sum 'Ca1 Nd3 Sm2 Se6'
_symmetry_space_group_name_H-M 'P 1'
_symmetry_Int_Tables_number 1
_cell_length_a 7.270
_cell_length_b 7.270
_cell_length_c 7.303
_cell_angle_alpha 99.49
_cell_angle_beta 99.49
_cell_angle_gamma 120.08
loop_
_symmetry_equiv_pos_as_xyz
'x,y,z'
loop_
_atom_site_label
_atom_site_type_symbol
_atom_site_fract_x
_atom_site_fract_y
_atom_site_fract_z
_atom_site_occupancy
Ca1 Ca 0.000 0.000 0.000 1
Nd1 Nd 0.167 0.833 0.500 1
Nd2 Nd 0.833 0.167 0.500 1
Nd3 Nd 0.500 0.500 0.500 1
Sm1 Sm 0.333 0.667 0.000 1
Sm2 Sm 0.667 0.333 0.000 1
Se1 Se 0.919 0.589 0.756 1
Se2 Se 0.751 0.751 0.242 1
Se3 Se 0.081 0.411 0.244 1
Se4 Se 0.589 0.919 0.756 1
Se5 Se 0.249 0.249 0.758 1
Se6 Se 0.411 0.081 0.244 1
# * symmetry: No. 12
# * D(E_F): 5.63 states/eV per cell

(4)
# LiLa2Br6, relaxed, DFT PBE
data_LiLa2Br6
_chemical_formula_sum 'Li1 La2 Br6'
_symmetry_space_group_name_H-M 'P 1'
_symmetry_Int_Tables_number 1
_cell_length_a 3.884
_cell_length_b 7.759
_cell_length_c 11.278
_cell_angle_alpha 77.61
_cell_angle_beta 80.08
_cell_angle_gamma 75.50
loop_
_symmetry_equiv_pos_as_xyz
'x,y,z'
loop_
_atom_site_label
_atom_site_type_symbol
_atom_site_fract_x
_atom_site_fract_y
_atom_site_fract_z
_atom_site_occupancy
Li1 Li 0.000 0.000 0.000 1
La1 La 0.318 0.064 0.301 1
La2 La 0.682 0.936 0.699 1
Br1 Br 0.805 0.276 0.115 1
Br2 Br 0.195 0.724 0.885 1
Br3 Br 0.347 0.771 0.535 1
Br4 Br 0.993 0.796 0.219 1
Br5 Br 0.007 0.204 0.781 1
Br6 Br 0.653 0.229 0.465 1
# * symmetry: No. 12
# * D(E_F): 2.66 states/eV per cell

(5)
# NaNiH3, relaxed, DFT PBE
data_NaNiH3
_chemical_formula_sum 'Na4 Ni4 H12'
_symmetry_space_group_name_H-M 'P 1'
_symmetry_Int_Tables_number 1
_cell_length_a 23.236
_cell_length_b 3.712
_cell_length_c 8.759
_cell_angle_alpha 90.00
_cell_angle_beta 166.53
_cell_angle_gamma 90.00
loop_
_symmetry_equiv_pos_as_xyz
'x,y,z'
loop_
_atom_site_label
_atom_site_type_symbol
_atom_site_fract_x
_atom_site_fract_y
_atom_site_fract_z
_atom_site_occupancy
Ni1 Ni 0.094 0.250 0.656 1
Ni2 Ni 0.906 0.750 0.344 1
Ni3 Ni 0.406 0.750 0.844 1
Ni4 Ni 0.594 0.250 0.156 1
H1 H 0.242 0.750 0.569 1
H2 H 0.758 0.250 0.431 1
H3 H 0.258 0.250 0.931 1
H4 H 0.742 0.750 0.069 1
H5 H 0.344 0.250 0.407 1
H6 H 0.656 0.750 0.593 1
H7 H 0.156 0.750 0.093 1
H8 H 0.844 0.250 0.907 1
H9 H 0.574 0.750 0.123 1
H10 H 0.426 0.250 0.877 1
H11 H 0.926 0.250 0.377 1
H12 H 0.074 0.750 0.623 1
Na1 Na 0.494 0.750 0.658 1
Na2 Na 0.506 0.250 0.342 1
Na3 Na 0.006 0.250 0.842 1
Na4 Na 0.994 0.750 0.158 1
# * symmetry: No. 11
# * D(E_F): 2.25 states/eV per cell

(6)
# Ca3Bi2O8, relaxed, DFT PBE
data_Ca3Bi2O8
_chemical_formula_sum 'Ca3 Bi2 O8'
_symmetry_space_group_name_H-M 'P 1'
_symmetry_Int_Tables_number 1
_cell_length_a 8.517
_cell_length_b 6.887
_cell_length_c 6.887
_cell_angle_alpha 58.37
_cell_angle_beta 48.91
_cell_angle_gamma 48.91
loop_
_symmetry_equiv_pos_as_xyz
'x,y,z'
loop_
_atom_site_label
_atom_site_type_symbol
_atom_site_fract_x
_atom_site_fract_y
_atom_site_fract_z
_atom_site_occupancy
Ca1 Ca 0.500 0.000 0.000 1
Ca2 Ca 0.000 0.247 0.753 1
Ca3 Ca 0.000 0.753 0.247 1
Bi1 Bi 0.934 0.285 0.285 1
Bi2 Bi 0.066 0.715 0.715 1
O1 O 0.841 0.695 0.695 1
O2 O 0.159 0.305 0.305 1
O3 O 0.785 0.209 0.209 1
O4 O 0.215 0.791 0.791 1
O5 O 0.789 0.707 0.155 1
O6 O 0.789 0.155 0.707 1
O7 O 0.211 0.845 0.293 1
O8 O 0.211 0.293 0.845 1
# * symmetry: No. 12

(7)
# Nd2HPt, relaxed, DFT PBE
data_Nd2HPt
_chemical_formula_sum 'Nd2 H1 Pt1'
_symmetry_space_group_name_H-M 'P 1'
_symmetry_Int_Tables_number 1
_cell_length_a 4.066
_cell_length_b 4.065
_cell_length_c 6.637
_cell_angle_alpha 89.98
_cell_angle_beta 89.99
_cell_angle_gamma 59.96
loop_
_symmetry_equiv_pos_as_xyz
'x,y,z'
loop_
_atom_site_label
_atom_site_type_symbol
_atom_site_fract_x
_atom_site_fract_y
_atom_site_fract_z
_atom_site_occupancy
Nd1 Nd 0.176 0.621 0.513 1
Nd2 Nd 0.510 0.955 0.039 1
H1 H 0.177 0.621 0.160 1
Pt1 Pt 0.843 0.288 0.766 1
# * symmetry: No. 156
# * D(E_F): 3.62 states/eV per cell

(8)
# YCOF2, relaxed, DFT PBE
data_YCOF2
_chemical_formula_sum 'Y1 C1 O1 F2'
_symmetry_space_group_name_H-M 'P 1'
_symmetry_Int_Tables_number 1
_cell_length_a 4.312
_cell_length_b 4.312
_cell_length_c 3.175
_cell_angle_alpha 90.00
_cell_angle_beta 90.00
_cell_angle_gamma 90.00
loop_
_symmetry_equiv_pos_as_xyz
'x,y,z'
loop_
_atom_site_label
_atom_site_type_symbol
_atom_site_fract_x
_atom_site_fract_y
_atom_site_fract_z
_atom_site_occupancy
Y1 Y 0.500 0.500 0.500 1
C1 C 0.000 0.000 0.000 1
O1 O 0.000 0.000 0.500 1
F1 F 0.000 0.500 0.000 1
F2 F 0.500 0.000 0.000 1
# * symmetry: No. 123
# * D(E_F): 2.01 states/eV per cell

(9)
# La4SbTe2S, relaxed, DFT PBE
data_La4SbTe2S
_chemical_formula_sum 'La4 Sb1 Te2 S1'
_symmetry_space_group_name_H-M 'P 1'
_symmetry_Int_Tables_number 1
_cell_length_a 4.462
_cell_length_b 7.758
_cell_length_c 7.871
_cell_angle_alpha 109.04
_cell_angle_beta 90.00
_cell_angle_gamma 90.00
loop_
_symmetry_equiv_pos_as_xyz
'x,y,z'
loop_
_atom_site_label
_atom_site_type_symbol
_atom_site_fract_x
_atom_site_fract_y
_atom_site_fract_z
_atom_site_occupancy
La1 La 0.500 0.260 0.232 1
La2 La 0.500 0.740 0.768 1
La3 La 0.000 0.274 0.778 1
La4 La 0.000 0.726 0.222 1
Sb1 Sb 0.000 0.000 0.000 1
Te1 Te 0.500 0.000 0.500 1
Te2 Te 0.000 0.500 0.500 1
S1 S 0.500 0.500 0.000 1
# * symmetry: No. 10
# * D(E_F): 4.62 states/eV per cell

(10)
# LiHoCdGe, relaxed, DFT PBE
data_LiHoCdGe
_chemical_formula_sum 'Li1 Ho1 Cd1 Ge1'
_symmetry_space_group_name_H-M 'P 1'
_symmetry_Int_Tables_number 1
_cell_length_a 4.917
_cell_length_b 4.917
_cell_length_c 4.917
_cell_angle_alpha 60.00
_cell_angle_beta 60.00
_cell_angle_gamma 60.00
loop_
_symmetry_equiv_pos_as_xyz
'x,y,z'
loop_
_atom_site_label
_atom_site_type_symbol
_atom_site_fract_x
_atom_site_fract_y
_atom_site_fract_z
_atom_site_occupancy
Ge1 Ge 0.250 0.250 0.250 1
Li1 Li 0.500 0.500 0.500 1
Ho1 Ho 0.000 0.000 0.000 1
Cd1 Cd 0.750 0.750 0.750 1
# * energy of formation from the pure elements: -0.4115 eV per atom
# * symmetry: No. 216
# * D(E_F): 1.34 states/eV per cell

Number 1: mass density 4.7 Mg/m³, raw total energy -1.991 eV per atom. Number 2: mass density 7.5 Mg/m³, raw total energy -4.697 eV per atom. Number 3: mass density 6.6 Mg/m³, raw total energy -5.741 eV per atom. Number 4: mass density 4.0 Mg/m³, raw total energy -4.201 eV per atom. Number 5: mass density 3.2 Mg/m³, raw total energy -3.547 eV per atom. Number 6: mass density 4.9 Mg/m³, raw total energy -5.925 eV per atom. Number 7: mass density 8.5 Mg/m³, raw total energy -5.418 eV per atom. Number 8: mass density 4.4 Mg/m³, raw total energy -5.705 eV per atom. Number 9: mass density 6.2 Mg/m³, raw total energy -5.927 eV per atom. Number 10: mass density 7.1 Mg/m³, raw total energy -3.417 eV per atom.